Computed, not measured: a geometry-optimized CsFeNiF6 structure at the GGA+U level of DFT.

abc: 7.2662 7.5508 10.3171
angles: 90.00 90.00 90.00
Closest atoms and distances in Å follow each position.
Space group Imma (No. 74)
One atom of each set of equivalent atoms:
Cs 0.0000 0.2500 0.1195 x4  6 F 3.03-3.23
Fe 0.0000 0.0000 0.5000 x4  6 F 1.90-2.03
Ni 0.2500 0.2500 0.7500 x4  6 F 1.98-2.04
F 0.0000 0.2500 0.4282 x4  2 Fe 2.03
F 0.0000 0.2500 0.8255 x4  2 Ni 1.98
F 0.1883 0.0544 0.6207 x16  1 Fe 1.90, 1 Ni 2.04

Values from the calculation:
Polymorph energy (0 for the lowest one): 143 meV/atom
Uncorrected energy: -166.11 eV for the cell shown
Total magnetic moment: 0.55 μB per atom